Entry 1:
DFT (PBE) results for a relaxed Ho3MnCo8 crystal.

## Properties
Mass density   9.72 g/cm3
Total energy   -81.7 eV/f.u.
Formation energy from the elements   -0.162 eV per atom
Space group   R3m, No. 160

Cell: 4.975 4.975 8.634 Å, 73.26 73.26 60.00°
Sites, in units of the cell vectors:
Co1 0.935 0.436 0.193
Co2 0.188 0.188 0.435
Co3 0.444 0.938 0.681
Co4 0.436 0.935 0.193
Co5 0.938 0.938 0.681
Co6 0.938 0.444 0.681
Co7 0.436 0.436 0.193
Co8 0.688 0.688 0.937
Ho1 0.376 0.376 0.872
Ho2 0.994 0.994 0.017
Ho3 0.504 0.504 0.488
Mn1 0.873 0.873 0.380

Entry 2:
DFT (PBE) results for a relaxed Na2MgPb3 crystal.

## Properties
E above lowest polymorph   0 meV per atom
Mass density   6.90 g/cm3
Total energy   -16.2 eV/f.u.
Formation energy from the elements   -0.142 eV per atom
Space group   Cmmm, No. 65

Cell: 5.284 8.317 7.987 Å, 90.00 90.00 71.48°
Sites, in units of the cell vectors:
Pb1 0.170 0.661 0.230
Pb2 0.830 0.339 0.770
Pb3 0.500 0.000 0.766
Pb4 0.500 0.000 0.234
Pb5 0.170 0.661 0.770
Pb6 0.830 0.339 0.230
Na1 0.335 0.331 0.500
Na2 0.665 0.669 0.500
Na3 0.000 0.000 0.500
Na4 0.000 0.000 0.000
Mg1 0.336 0.328 0.000
Mg2 0.664 0.672 0.000

Entry 3:
DFT (PBE) results for a relaxed Tl2FeAgH crystal.

## Properties
Mass density   6.27 g/cm3
Total energy   -13.8 eV/f.u.
Space group   P4/mmm, No. 123

Cell: 5.534 4.961 5.534 Å, 90.00 90.00 90.00°
Sites, in units of the cell vectors:
Ag1 0.000 0.000 0.000
Tl1 0.000 0.000 0.500
Tl2 0.500 0.000 0.000
Fe1 0.000 0.500 0.000
H1 0.500 0.500 0.500